A plane-wave DFT calculation with PBE was carried out for a geometry-optimized Sm8P3HSe4 structure. Values from VASP.

Quantum ESPRESSO input file:
```
&SYSTEM
  ibrav = 0, nat = 16, ntyp = 4
/
ATOMIC_SPECIES
P 30.97 P.upf
Sm 150.36 Sm.upf
Se 78.96 Se.upf
H 1.01 H.upf
CELL_PARAMETERS angstrom
-7.7174 -2.4832 -1.0080
0.3230 -3.9483 7.2536
1.8086 7.9592 -0.3487
ATOMIC_POSITIONS crystal
P 0.5000 0.5000 0.5000
Sm 0.2483 0.7350 0.9868
Sm 0.7430 0.7289 0.4859
Se 0.0000 0.0000 0.0000
Sm 0.7517 0.2650 0.0132
Sm 0.2570 0.2711 0.5141
P 0.0000 0.5000 0.5000
Sm 0.7385 0.7350 0.9868
H 0.0000 0.5000 0.0000
Se 0.5000 0.0000 0.5000
Se 0.5000 0.0000 0.0000
Sm 0.2483 0.7351 0.4966
P 0.5000 0.5000 0.0000
Sm 0.7517 0.2649 0.5034
Se 0.0000 0.0000 0.5000
Sm 0.2615 0.2650 0.0132
```

Results
Magnetic moment, μB/f.u.: 0.00
Total DFT energy (no corrections), eV per atom: -6.032
Space-group type: R-3m



A plane-wave DFT calculation with PBE was carried out for a geometry-optimized Pm12HoTm7 structure. Values from VASP.

Quantum ESPRESSO input file:
```
&SYSTEM
  ibrav = 0, nat = 20, ntyp = 3
/
ATOMIC_SPECIES
Pm 145.00 Pm.upf
Tm 168.93 Tm.upf
Ho 164.93 Ho.upf
CELL_PARAMETERS angstrom
8.4840 1.2635 1.8964
-1.1454 8.5007 1.8964
-1.1454 -1.5240 8.5753
ATOMIC_POSITIONS crystal
Pm 0.4197 0.1006 0.3465
Pm 0.3465 0.4197 0.1006
Pm 0.6505 0.7729 0.2450
Pm 0.7729 0.2450 0.6505
Pm 0.6535 0.5803 0.8994
Pm 0.7550 0.3495 0.2271
Pm 0.2271 0.7550 0.3495
Tm 0.5000 0.5000 0.5000
Tm 0.3610 0.8861 0.0043
Ho 0.0000 0.0000 0.0000
Pm 0.5803 0.8994 0.6535
Tm 0.1139 0.9957 0.6390
Tm 0.9957 0.6390 0.1139
Pm 0.8994 0.6535 0.5803
Pm 0.3495 0.2271 0.7550
Tm 0.6390 0.1139 0.9957
Tm 0.0043 0.3610 0.8861
Pm 0.2450 0.6505 0.7729
Pm 0.1006 0.3465 0.4197
Tm 0.8861 0.0043 0.3610
```

Results
Magnetic moment, μB/f.u.: 0.00
Total DFT energy (no corrections), eV per atom: -4.418
Energy above the lowest structure with this stoichiometry, eV/atom: 0.000
ΔH_f (0 K), eV/atom: 0.2266
Space-group type: R-3



A plane-wave DFT calculation with PBE was carried out for a geometry-optimized TaPdPt4 structure. Values from VASP.

Quantum ESPRESSO input file:
```
&SYSTEM
  ibrav = 0, nat = 6, ntyp = 3
/
ATOMIC_SPECIES
Ta 180.95 Ta.upf
Pt 195.08 Pt.upf
Pd 106.42 Pd.upf
CELL_PARAMETERS angstrom
3.7859 -1.0063 0.0118
-0.7392 4.8237 -0.7556
-0.2546 -0.8980 5.5673
ATOMIC_POSITIONS crystal
Ta 0.2513 0.2473 0.9981
Pt 0.5917 0.9293 0.6740
Pt 0.9162 0.5771 0.8302
Pt 0.5864 0.9175 0.1661
Pd 0.2513 0.2473 0.4981
Pt 0.9109 0.5653 0.3223
```

Results
Magnetic moment, μB/f.u.: 0.00
Total DFT energy (no corrections), eV per atom: -7.395
Energy above the lowest structure with this stoichiometry, eV/atom: 0.000
ΔH_f (0 K), eV/atom: -0.5266
Space-group type: C2/m



A plane-wave DFT calculation with PBE was carried out for a geometry-optimized TaBO2 structure. Values from VASP.

Quantum ESPRESSO input file:
```
&SYSTEM
  ibrav = 0, nat = 4, ntyp = 3
/
ATOMIC_SPECIES
O 16.00 O.upf
B 10.81 B.upf
Ta 180.95 Ta.upf
CELL_PARAMETERS angstrom
1.6140 0.0000 5.8430
-0.8070 1.3978 5.8430
-0.8070 -1.3978 5.8430
ATOMIC_POSITIONS crystal
O 0.0797 0.0797 0.0797
O 0.9203 0.9203 0.9203
B 0.0000 0.0000 0.0000
Ta 0.5000 0.5000 0.5000
```

Results
Magnetic moment, μB/f.u.: 0.00
Total DFT energy (no corrections), eV per atom: -8.169
ΔE_f (raw), eV per atom: -1.06
Space-group type: R-3m



Q: Among the records above, which one has the lowest total DFT energy (no corrections)?
A: TaBO2



Please write out number 4 again, unchanged.
A plane-wave DFT calculation with PBE was carried out for a geometry-optimized TaBO2 structure. Values from VASP.

Quantum ESPRESSO input file:
```
&SYSTEM
  ibrav = 0, nat = 4, ntyp = 3
/
ATOMIC_SPECIES
O 16.00 O.upf
B 10.81 B.upf
Ta 180.95 Ta.upf
CELL_PARAMETERS angstrom
1.6140 0.0000 5.8430
-0.8070 1.3978 5.8430
-0.8070 -1.3978 5.8430
ATOMIC_POSITIONS crystal
O 0.0797 0.0797 0.0797
O 0.9203 0.9203 0.9203
B 0.0000 0.0000 0.0000
Ta 0.5000 0.5000 0.5000
```

Results
Magnetic moment, μB/f.u.: 0.00
Total DFT energy (no corrections), eV per atom: -8.169
ΔE_f (raw), eV per atom: -1.06
Space-group type: R-3m